This record from Alexandria describes a geometry-optimized Pr3SnPt4 structure. The functional is PBE-GGA.

Results
As for the formation energy: -0.93 eV per atom.

Cell: 4.083 6.697 14.901 Å, 90.00 90.00 90.00°
Space group Immm (No. 71)
Symmetry-distinct sites (fractional):
Pr 0.000 0.000 0.000 [2 per cell]
Pr 0.000 0.500 0.191 [4 per cell]
Sn 0.000 0.000 0.500 [2 per cell]
Pt 0.000 0.299 0.377 [8 per cell]

***

This record from Alexandria describes a geometry-optimized Lu2BiPt structure. The functional is PBE-GGA.

Results
Its energy above the most stable polymorph in this dataset is 0.20 kcal/mol of atoms. As for the formation energy: -0.87 eV per atom.

Cell: 4.2545 4.2545 20.2584 Å, 90.00 90.00 120.00°
Space group R-3m (No. 166, hexagonal axes)
Symmetry-distinct sites (fractional):
Lu 0.0000 0.0000 0.2372 [6 per cell]
Bi 0.0000 0.0000 0.0000 [3 per cell]
Pt 0.0000 0.0000 0.5000 [3 per cell]

***

This record from Alexandria describes a geometry-optimized NaSeI2O structure. The functional is PBE-GGA.

Results
Its energy above the most stable polymorph in this dataset is 21.10 kcal/mol of atoms. Its formation energy (no corrections) is 2.4 eV per formula unit.

Cell: 5.725 5.725 4.116 Å, 90.00 90.00 90.00°
Space group P4/mmm (No. 123)
Symmetry-distinct sites (fractional):
Na 0.000 0.000 0.000 [1 per cell]
Se 0.500 0.500 0.500 [1 per cell]
I 0.000 0.500 0.000 [2 per cell]
O 0.000 0.000 0.500 [1 per cell]

***

no.,density of states at the Fermi level (states/eV per cell)
1,7.1
2,6.0
3,9.7